(1)
{
  "formula": "Sr2ZnBr",
  "functional": "PBE",
  "state": "relaxed",
  "sg": "No. 12",
  "dft_energy_ev_per_atom": -2.270,
  "lattice": [[-1.295, 5.335, 1.944], [-5.251, -0.352, -2.493], [-1.416, -1.465, 3.141]],
  "species": ["Zn", "Br", "Sr", "Sr"],
  "frac_coords": [[0.500, 0.000, 0.500], [0.000, 0.500, 0.500], [0.500, 0.500, 0.000], [0.000, 0.000, 0.000]]
}


(2)
{
  "formula": "TmZrZn3",
  "functional": "PBE",
  "state": "relaxed",
  "sg": "No. 12",
  "delta_e_f_mev_per_atom": -245,
  "dft_energy_ev_per_atom": -3.613,
  "lattice": [[-1.664, 1.226, -3.655], [5.253, -0.425, -2.534], [-4.132, -7.900, 1.645]],
  "species": ["Zr", "Zn", "Tm", "Zn", "Zr", "Tm", "Zn", "Zn", "Zn", "Zn"],
  "frac_coords": [[0.189, 0.804, 0.378], [0.002, 0.268, 0.004], [0.610, 0.106, 0.220], [0.577, 0.555, 0.155], [0.811, 0.196, 0.622], [0.390, 0.894, 0.780], [0.998, 0.732, 0.996], [0.760, 0.637, 0.520], [0.240, 0.363, 0.480], [0.423, 0.445, 0.845]]
}


(3)
{
  "formula": "CsHg3Sb",
  "functional": "PBE",
  "state": "relaxed",
  "sg": "No. 221",
  "dft_energy_ev_per_atom": -0.693,
  "lattice": [[-2.058, 2.493, 6.125], [-2.809, -6.136, 1.554], [5.986, -2.023, 2.835]],
  "species": ["Hg", "Hg", "Cs", "Sb", "Hg"],
  "frac_coords": [[0.000, 0.500, 0.000], [0.500, 0.000, 0.000], [0.000, 0.000, 0.000], [0.500, 0.500, 0.500], [0.000, 0.000, 0.500]]
}


> Number 3 is which compound?

CsHg3Sb